A relaxed structure of TlCdHg2, computed with PBE.

Cell and atoms, written as POSCAR:
```
TlCdHg2
1.0
3.5136 0.0000 0.0000
0.0000 3.5136 0.0000
0.0000 0.0000 8.6377
Tl Cd Hg
1 1 2
Cartesian
0.0000 0.0000 0.0000
0.0000 0.0000 4.3188
1.7568 1.7568 2.3352
1.7568 1.7568 6.3025
```

Properties
As for the formation energy: -0.17 kcal/mol of atoms. The space group is No. 123. As for the theoretical density: 11.18 g cm⁻³. The size of the total moment comes out at 0.000 μB per cell. The excess energy over the best structure of this formula in the dataset comes out at 0.0 kJ per mole of atoms.